[1]
Entry from the Alexandria database: a relaxed ScCuAg crystal (PBE).

Output
polymorph energy (0 for the lowest one): 0.010 eV/atom

The structure in extended XYZ format:
```
3
Lattice="-1.712 1.712 4.406 1.712 -1.712 4.406 1.712 1.712 -4.406" Properties=species:S:1:pos:R:3 pbc="T T T"
Sc 0.000 0.000 0.000
Cu 0.000 0.000 5.807
Ag 0.000 0.000 2.838
```

=====

[2]
Entry from the Alexandria database: a relaxed Sc2CuAg crystal (PBE).

Output
E: -4.97 eV per atom

The structure in extended XYZ format:
```
4
Lattice="-2.034 2.034 4.540 2.034 -2.034 4.540 2.034 2.034 -4.540" Properties=species:S:1:pos:R:3 pbc="T T T"
Sc 0.000 0.000 0.000
Sc 0.000 2.034 2.270
Cu 0.000 0.000 4.540
Ag 2.034 0.000 2.270
```